Record 1
Computed, not measured: FeSiSn2Ir after structural relaxation at the PBE level of DFT.

Output
- theoretical density (kg/m³) = 7565
- symmetry = P4/mmm, No. 123
- energy relative to the elements, uncorrected (kcal/mol of atoms) = 22.518
- magnetic moment (μB per formula unit) = 3.19
- density of states at the Fermi level (states/eV/f.u.) = 4.6

Structure (extended XYZ):
```
5
Lattice="5.0674 0.0000 0.0000 0.0000 4.3898 0.0000 0.0000 0.0000 5.0674" Properties=species:S:1:pos:R:3 pbc="T T T"
Si 0.0000 0.0000 0.0000
Ir 0.0000 2.1949 0.0000
Sn 0.0000 0.0000 2.5337
Sn 2.5337 0.0000 0.0000
Fe 2.5337 2.1949 2.5337
```



Record 2
Computed, not measured: KLiB2 after structural relaxation at the PBE level of DFT.

Output
- theoretical density (kg/m³) = 1623
- symmetry = Fm-3m, No. 225
- polymorph energy (0 for the lowest one) (meV per atom) = 967
- magnetic moment (μB per formula unit) = 0.00
- density of states at the Fermi level (states/eV/f.u.) = 3.0

Structure (extended XYZ):
```
4
Lattice="0.0000 3.2586 3.2586 3.2586 0.0000 3.2586 3.2586 3.2586 0.0000" Properties=species:S:1:pos:R:3 pbc="T T T"
K 3.2586 3.2586 3.2586
B 1.6293 1.6293 1.6293
B 4.8880 4.8880 4.8880
Li 0.0000 0.0000 0.0000
```



Record 3
Computed, not measured: KBaAl2F8 after structural relaxation at the PBE level of DFT.

Output
- theoretical density (kg/m³) = 2524
- symmetry = P-3, No. 147
- energy relative to the elements, uncorrected (kcal/mol of atoms) = -75.606
- magnetic moment (μB per formula unit) = 0.00
- density of states at the Fermi level (states/eV/f.u.) = 2.5

Structure (extended XYZ):
```
12
Lattice="5.7166 0.0000 0.0000 -2.8583 4.9507 0.0000 0.0000 0.0000 8.8883" Properties=species:S:1:pos:R:3 pbc="T T T"
K 0.0000 0.0000 0.0000
Ba 0.0000 0.0000 4.4442
Al 2.8583 1.6503 1.7756
Al 0.0000 3.3005 7.1127
F 0.0000 3.3005 8.8120
F 1.4660 0.8066 2.2869
F 4.2851 0.8663 2.2869
F 2.8583 1.6503 0.0764
F -1.4268 4.0844 6.6014
F 1.3923 4.1442 6.6014
F 0.0345 1.6729 6.6014
F 2.8238 3.2779 2.2869
```



Record 4
Computed, not measured: Tl3CdSi after structural relaxation at the PBE level of DFT.

Output
- theoretical density (kg/m³) = 7580
- symmetry = Pm-3m, No. 221
- polymorph energy (0 for the lowest one) (meV per atom) = 0
- energy relative to the elements, uncorrected (kcal/mol of atoms) = 8.973
- magnetic moment (μB per formula unit) = 0.00
- density of states at the Fermi level (states/eV/f.u.) = 3.4

Structure (extended XYZ):
```
5
Lattice="-0.5923 -3.8325 -3.8802 4.2698 2.1023 -2.7283 3.3930 -3.3146 2.7560" Properties=species:S:1:pos:R:3 pbc="T T T"
Tl 2.1349 1.0512 -1.3641
Tl 1.6965 -1.6573 1.3780
Tl -0.2961 -1.9163 -1.9401
Si 0.0000 0.0000 0.0000
Cd 3.5353 -2.5224 -1.9262
```